1.
Compound: PbSe3
Source: Alexandria via LeMat-Bulk
Functional: PBE
Structure: optimized geometry

Structure (POSCAR):
```
PbSe3
1.0
5.6438 0.0000 0.0000
0.0000 5.6438 0.0000
0.0000 0.0000 5.6438
Pb Se
1 3
Cartesian
0.0000 0.0000 0.0000 Pb
2.8219 0.0000 0.0000 Se
0.0000 2.8219 0.0000 Se
0.0000 0.0000 2.8219 Se
```

Values from the calculation:
DOS at the Fermi energy ... 6.0 states/eV/cell
SG ... No. 221
Uncorrected energy ... -11.4 eV/f.u.
Magnetic moment ... 0.72 μB/atom

=====

2.
Compound: MnC2Cl
Source: Alexandria via LeMat-Bulk
Functional: PBE
Structure: optimized geometry

Structure (POSCAR):
```
MnC2Cl
1.0
0.0000 2.6876 2.6876
2.6876 0.0000 2.6876
2.6876 2.6876 0.0000
C Mn Cl
2 1 1
Cartesian
1.3438 1.3438 1.3438 C
4.0314 4.0314 4.0314 C
2.6876 2.6876 2.6876 Mn
0.0000 0.0000 0.0000 Cl
```

Values from the calculation:
DOS at the Fermi energy ... 4.4 states/eV/cell
SG ... No. 225
Excess energy over the best structure of this formula in the dataset ... 1427.1 meV per atom
Magnetic moment ... 0.00 μB/atom

=====

3.
Compound: Hf4PdI2
Source: Alexandria via LeMat-Bulk
Functional: PBE
Structure: optimized geometry

Structure (POSCAR):
```
Hf4PdI2
1.0
-0.1864 5.1442 -0.0939
-3.4321 -0.1944 -3.8327
-7.0825 2.3702 2.7641
I Hf Pd
2 4 1
Cartesian
-7.6749 4.8693 -0.2902 I
-3.0262 2.4508 -0.8724 I
-5.5626 4.9113 -2.1839 Hf
-5.1385 2.4088 1.0213 Hf
-1.7161 -0.0972 -1.9164 Hf
-0.0932 2.5721 -0.0470 Hf
0.0000 0.0000 0.0000 Pd
```

Values from the calculation:
DOS at the Fermi energy ... 6.1 states/eV/cell
SG ... No. 139
Uncorrected energy ... -44.4 eV/f.u.
Magnetic moment ... 0.00 μB/atom

=====

4.
Compound: CdSiSnHg
Source: Alexandria via LeMat-Bulk
Functional: PBE
Structure: optimized geometry

Structure (POSCAR):
```
CdSiSnHg
1.0
-0.2194 0.1711 3.2715
-3.6752 -5.0499 -0.0051
2.6110 -4.7246 0.4225
Hg Si Sn Cd
1 1 1 1
Cartesian
-0.3085 -5.5467 1.5964 Hg
-2.5414 -6.5481 3.1648 Si
-0.6973 -2.6677 1.4587 Sn
-1.2759 -8.9358 3.3755 Cd
```

Values from the calculation:
DOS at the Fermi energy ... 1.3 states/eV/cell
SG ... No. 1
Excess energy over the best structure of this formula in the dataset ... 52.8 meV per atom
Magnetic moment ... 0.00 μB/atom

=====

5.
Compound: Y2MoPt
Source: Alexandria via LeMat-Bulk
Functional: PBE
Structure: optimized geometry

Structure (POSCAR):
```
Y2MoPt
1.0
3.1335 0.0000 0.0000
0.0000 4.6897 0.0000
0.0000 0.0000 5.9669
Mo Pt Y
1 1 2
Cartesian
0.0000 0.0000 2.7634 Mo
1.5668 2.3448 4.6954 Pt
0.0000 0.0000 5.6469 Y
1.5668 2.3448 1.8117 Y
```

Values from the calculation:
DOS at the Fermi energy ... 5.3 states/eV/cell
SG ... No. 25
Excess energy over the best structure of this formula in the dataset ... 320.0 meV per atom
Magnetic moment ... 0.00 μB/atom

=====

6.
Compound: Tl2HgIr
Source: Alexandria via LeMat-Bulk
Functional: PBE
Structure: optimized geometry

Structure (POSCAR):
```
Tl2HgIr
1.0
11.1864 0.0121 0.0071
10.7189 3.2001 0.0071
10.7189 1.5718 2.7875
Hg Ir Tl
1 1 2
Cartesian
8.1560 1.1960 0.7004 Hg
24.4681 3.5881 2.1013 Ir
0.5225 0.0766 0.0449 Tl
15.7896 2.3154 1.3560 Tl
```

Values from the calculation:
DOS at the Fermi energy ... 3.0 states/eV/cell
SG ... No. 166
Excess energy over the best structure of this formula in the dataset ... 144.3 meV per atom
Magnetic moment ... 0.00 μB/atom

=====

7.
Compound: Sc3PtI3
Source: Alexandria via LeMat-Bulk
Functional: PBE
Structure: optimized geometry

Structure (POSCAR):
```
Sc3PtI3
1.0
9.5723 0.0000 -3.3843
-4.7862 8.2899 -3.3843
0.0000 0.0000 10.1530
Sc Pt I
12 4 12
Cartesian
6.8201 3.9376 -2.5382 Sc
4.7861 0.4146 0.8461 Sc
2.2734 0.2073 3.8919 Sc
5.7433 6.2174 -5.5840 Sc
8.2561 1.8652 0.5075 Sc
7.2989 0.2073 -2.1997 Sc
4.7862 3.7303 0.8461 Sc
3.8290 6.2174 -2.8768 Sc
3.9487 2.2798 -2.5382 Sc
1.3162 1.8652 1.1846 Sc
5.6236 2.2798 4.2304 Sc
2.7522 3.9376 4.2304 Sc
4.7862 4.1449 -4.2304 Pt
3.5896 2.0725 2.5382 Pt
5.9827 2.0725 -0.8461 Pt
0.0000 0.0000 2.5382 Pt
-2.4103 8.2601 5.8739 I
3.5724 6.2472 2.4896 I
1.1449 6.1876 5.9226 I
-1.1621 2.0725 9.2582 I
-1.1449 6.1876 -0.8461 I
2.3414 4.1747 -0.8461 I
1.1621 2.0725 5.9712 I
0.0000 4.2046 2.5382 I
2.4103 8.2601 -0.7974 I
-2.3414 4.1747 5.9226 I
-3.5724 6.2472 2.5869 I
0.0000 8.2302 2.5382 I
```

Values from the calculation:
DOS at the Fermi energy ... 19.7 states/eV/cell
SG ... No. 214
Uncorrected energy ... -37.0 eV/f.u.
Magnetic moment ... 0.00 μB/atom

=====

8.
Compound: MgSiPb
Source: Alexandria via LeMat-Bulk
Functional: PBE
Structure: optimized geometry

Structure (POSCAR):
```
MgSiPb
1.0
-2.3195 0.0654 -4.2229
1.9385 -2.1584 -3.8472
-1.9597 -4.0455 -1.7353
Mg Pb Si
1 1 1
Cartesian
0.0000 0.0000 0.0000 Mg
-1.1704 -3.0692 -4.9027 Pb
-1.7556 -4.6038 -7.3541 Si
```

Values from the calculation:
DOS at the Fermi energy ... 1.4 states/eV/cell
SG ... No. 216
Excess energy over the best structure of this formula in the dataset ... 0.0 meV per atom
Magnetic moment ... 0.00 μB/atom

=====

Please write out number 3 again, unchanged.
Compound: Hf4PdI2
Source: Alexandria via LeMat-Bulk
Functional: PBE
Structure: optimized geometry

Structure (POSCAR):
```
Hf4PdI2
1.0
-0.1864 5.1442 -0.0939
-3.4321 -0.1944 -3.8327
-7.0825 2.3702 2.7641
I Hf Pd
2 4 1
Cartesian
-7.6749 4.8693 -0.2902 I
-3.0262 2.4508 -0.8724 I
-5.5626 4.9113 -2.1839 Hf
-5.1385 2.4088 1.0213 Hf
-1.7161 -0.0972 -1.9164 Hf
-0.0932 2.5721 -0.0470 Hf
0.0000 0.0000 0.0000 Pd
```

Values from the calculation:
DOS at the Fermi energy ... 6.1 states/eV/cell
SG ... No. 139
Uncorrected energy ... -44.4 eV/f.u.
Magnetic moment ... 0.00 μB/atom

=====

The highest magnetic moment belongs to which entry?
PbSe3

=====

Number 3 is which compound?
Hf4PdI2

=====

Which value of DOS at the Fermi energy does entry 7 give?
19.7 states/eV/cell